DFT (GGA-PBE) results for a relaxed BiAs2Au crystal.

Properties
For the total magnetization, the calculation gives 0.0 μB per formula unit. Its space-group type is R3m, No. 160. The calculation puts the density of states at the Fermi level at 2.6 states/eV/f.u.

Unit cell a=7.232 b=7.232 c=7.232 alpha=32.08 beta=32.08 gamma=32.08
Fractional coordinates of all 4 atoms:
Bi: 0.000 0.000 0.000
As: 0.564 0.564 0.564
As: 0.763 0.763 0.763
Au: 0.166 0.166 0.166

=====

DFT (GGA-PBE) results for a relaxed BiAsAu3 crystal.

Properties
For the total magnetization, the calculation gives 0.0 μB per formula unit. Its space-group type is Pm-3m, No. 221. The calculation puts the density of states at the Fermi level at 4.4 states/eV/f.u. For the energy above the lowest structure with this stoichiometry, the calculation gives 0 meV/atom.

Unit cell a=4.984 b=4.984 c=4.984 alpha=90.00 beta=90.00 gamma=90.00
Fractional coordinates of all 5 atoms:
Bi: 0.000 0.000 0.000
As: 0.500 0.500 0.500
Au: 0.000 0.500 0.500
Au: 0.500 0.000 0.500
Au: 0.500 0.500 0.000

=====

DFT (GGA-PBE) results for a relaxed Bi3AsAu crystal.

Properties
For the total magnetization, the calculation gives 0.0 μB per formula unit. Its space-group type is Pm-3m, No. 221. The calculation puts the density of states at the Fermi level at 8.9 states/eV/f.u. For the energy above the lowest structure with this stoichiometry, the calculation gives 0 meV/atom.

Unit cell a=5.521 b=5.521 c=5.521 alpha=90.00 beta=90.00 gamma=90.00
Fractional coordinates of all 5 atoms:
Bi: 0.000 0.000 0.500
Bi: 0.000 0.500 0.000
Bi: 0.500 0.000 0.000
As: 0.500 0.500 0.500
Au: 0.000 0.000 0.000

=====

Number 1: energy of formation 0.5 eV/f.u.. Number 2: energy of formation 1.9 eV/f.u.. Number 3: energy of formation 3.5 eV/f.u..